First-principles (PBE+U) data for a relaxed structure of Sr2Li3MoF12, as listed in Alexandria.

abc: 6.7958 6.7958 20.4675
angles: 90.00 90.00 120.00
Space group R-3m (No. 166, hexagonal axes)
Unique sites:
Sr: 0.0000 0.0000 0.0825 (multiplicity 6)
Li: 0.0000 0.5000 0.0000 (multiplicity 9)
Mo: 0.0000 0.0000 0.5000 (multiplicity 3)
F: 0.0290 0.5145 0.3701 (multiplicity 18)
F: 0.0588 0.5294 0.1163 (multiplicity 18)

Values from the calculation:
The calculation puts the calculated total energy at -5.00 eV per atom.